Record 1
Hf3TiPt2S | Alexandria via LeMat-Bulk | PBE | relaxed; energy relative to the elements, uncorrected = -71.5 kJ per mole of atoms; symmetry = Immm
1.0
4.404 0.000 0.000
0.000 4.649 0.000
0.000 0.000 13.612
Hf Ti Pt S
6 2 4 2
direct
0.000 0.000 0.000
0.000 0.500 0.187
0.000 0.500 0.813
0.500 0.000 0.313
0.500 0.000 0.687
0.500 0.500 0.500
0.000 0.000 0.500
0.500 0.500 0.000
0.000 0.500 0.374
0.000 0.500 0.626
0.500 0.000 0.126
0.500 0.000 0.874
0.000 0.500 0.000
0.500 0.000 0.500

Record 2
HfVPtS2 | Alexandria via LeMat-Bulk | PBE | relaxed; energy relative to the elements, uncorrected = 31.0 kJ per mole of atoms; symmetry = P4/mmm
1.0
4.809 0.000 0.000
0.000 4.809 0.000
0.000 0.000 5.035
Hf V Pt S
1 1 1 2
direct
0.000 0.000 0.000
0.500 0.500 0.500
0.000 0.000 0.500
0.000 0.500 0.000
0.500 0.000 0.000

Record 3
YHf2PtS | Alexandria via LeMat-Bulk | PBE | relaxed; energy relative to the elements, uncorrected = 141.2 kJ per mole of atoms; symmetry = P4/mmm
1.0
5.383 0.000 0.000
0.000 5.383 0.000
0.000 0.000 4.852
Y Hf Pt S
1 2 1 1
direct
0.000 0.000 0.000
0.000 0.500 0.000
0.500 0.000 0.000
0.000 0.000 0.500
0.500 0.500 0.500

Record 4
Hf2SbPt | Alexandria via LeMat-Bulk | PBE | relaxed; energy relative to the elements, uncorrected = -60.1 kJ per mole of atoms; symmetry = R-3m
1.0
3.868 0.000 0.000
-1.934 3.350 0.000
0.000 0.000 20.915
Hf Sb Pt
6 3 3
direct
0.000 0.000 0.240
0.000 0.000 0.760
0.333 0.667 0.427
0.333 0.667 0.907
0.667 0.333 0.093
0.667 0.333 0.573
0.000 0.000 0.000
0.333 0.667 0.667
0.667 0.333 0.333
0.000 0.000 0.500
0.333 0.667 0.167
0.667 0.333 0.833

Record 5
HfSb2Pt | Alexandria via LeMat-Bulk | PBE | relaxed; energy relative to the elements, uncorrected = -10.3 kJ per mole of atoms; symmetry = Fm-3m
1.0
6.965 0.000 0.000
0.000 6.965 0.000
0.000 0.000 6.965
Hf Sb Pt
4 8 4
direct
0.000 0.000 0.000
0.000 0.500 0.500
0.500 0.000 0.500
0.500 0.500 0.000
0.250 0.250 0.250
0.250 0.250 0.750
0.250 0.750 0.250
0.250 0.750 0.750
0.750 0.250 0.250
0.750 0.250 0.750
0.750 0.750 0.250
0.750 0.750 0.750
0.000 0.000 0.500
0.000 0.500 0.000
0.500 0.000 0.000
0.500 0.500 0.500

Record 6
Hf2SbPt2 | Alexandria via LeMat-Bulk | PBE | relaxed; excess energy over the best structure of this formula in the dataset = 136 meV/atom; energy relative to the elements, uncorrected = -70.5 kJ per mole of atoms; symmetry = P4/mbm
1.0
7.826 0.000 0.000
0.000 7.826 0.000
0.000 0.000 3.315
Hf Sb Pt
4 2 4
direct
0.160 0.340 0.000
0.340 0.840 0.000
0.660 0.160 0.000
0.840 0.660 0.000
0.000 0.000 0.000
0.500 0.500 0.000
0.130 0.630 0.500
0.370 0.130 0.500
0.630 0.870 0.500
0.870 0.370 0.500

Record 7
HfSb3Pt | Alexandria via LeMat-Bulk | PBE | relaxed; excess energy over the best structure of this formula in the dataset = 0 meV/atom; energy relative to the elements, uncorrected = 53.4 kJ per mole of atoms; symmetry = Pm-3m
1.0
5.196 0.000 0.000
0.000 5.196 0.000
0.000 0.000 5.196
Hf Sb Pt
1 3 1
direct
0.000 0.000 0.000
0.000 0.500 0.500
0.500 0.000 0.500
0.500 0.500 0.000
0.500 0.500 0.500

Record 8
Hf4SbPt | Alexandria via LeMat-Bulk | PBE | relaxed; energy relative to the elements, uncorrected = -26.9 kJ per mole of atoms; symmetry = P2_1/c
1.0
6.455 0.000 0.000
0.000 7.603 0.000
-2.088 0.000 5.290
Hf Sb Pt
8 2 2
direct
0.153 0.165 0.083
0.153 0.335 0.583
0.312 0.657 0.398
0.312 0.843 0.898
0.688 0.157 0.102
0.688 0.343 0.602
0.847 0.665 0.417
0.847 0.835 0.917
0.500 0.000 0.500
0.500 0.500 0.000
0.000 0.000 0.500
0.000 0.500 0.000

Record 9
HfSbPt | Alexandria via LeMat-Bulk | PBE | relaxed; energy relative to the elements, uncorrected = -58.1 kJ per mole of atoms; symmetry = P3m1
1.0
4.332 0.000 0.000
-2.166 3.751 0.000
0.000 0.000 3.900
Hf Sb Pt
1 1 1
direct
0.000 0.000 0.000
0.667 0.333 0.452
0.333 0.667 0.697

Record 10
Hf2SbPt9 | Alexandria via LeMat-Bulk | PBE | relaxed; energy relative to the elements, uncorrected = -77.4 kJ per mole of atoms; symmetry = P4/mmm
1.0
4.047 0.000 0.000
0.000 4.047 0.000
0.000 0.000 12.197
Hf Sb Pt
2 1 9
direct
0.000 0.000 0.165
0.000 0.000 0.835
0.000 0.000 0.500
0.000 0.500 0.000
0.000 0.500 0.326
0.000 0.500 0.674
0.500 0.000 0.000
0.500 0.000 0.326
0.500 0.000 0.674
0.500 0.500 0.165
0.500 0.500 0.500
0.500 0.500 0.835

Record 11
Hf2SbPt2 | Alexandria via LeMat-Bulk | PBE | relaxed; excess energy over the best structure of this formula in the dataset = 194 meV/atom; energy relative to the elements, uncorrected = -64.9 kJ per mole of atoms; symmetry = I4/mmm
1.0
4.564 0.000 0.000
0.000 4.564 0.000
0.000 0.000 10.731
Hf Sb Pt
4 2 4
direct
0.000 0.500 0.250
0.000 0.500 0.750
0.500 0.000 0.250
0.500 0.000 0.750
0.000 0.000 0.000
0.500 0.500 0.500
0.000 0.000 0.377
0.000 0.000 0.623
0.500 0.500 0.123
0.500 0.500 0.877

Record 12
HfSb3Pt | Alexandria via LeMat-Bulk | PBE | relaxed; excess energy over the best structure of this formula in the dataset = 202 meV/atom; energy relative to the elements, uncorrected = 72.9 kJ per mole of atoms; symmetry = Pm-3m
1.0
5.398 0.000 0.000
0.000 5.398 0.000
0.000 0.000 5.398
Hf Sb Pt
1 3 1
direct
0.000 0.000 0.000
0.000 0.000 0.500
0.000 0.500 0.000
0.500 0.000 0.000
0.500 0.500 0.500

Record 13
HfSb2Pt2 | Alexandria via LeMat-Bulk | PBE | relaxed; energy relative to the elements, uncorrected = -40.4 kJ per mole of atoms; symmetry = P4/mbm
1.0
7.265 0.000 0.000
0.000 7.265 0.000
0.000 0.000 3.892
Hf Sb Pt
2 4 4
direct
0.000 0.000 0.000
0.500 0.500 0.000
0.180 0.320 0.500
0.320 0.820 0.500
0.680 0.180 0.500
0.820 0.680 0.500
0.130 0.630 0.000
0.370 0.130 0.000
0.630 0.870 0.000
0.870 0.370 0.000

Record 14
Hf2SbPt2 | Alexandria via LeMat-Bulk | PBE | relaxed; excess energy over the best structure of this formula in the dataset = 0 meV/atom; energy relative to the elements, uncorrected = -83.6 kJ per mole of atoms; symmetry = P4/mbm
1.0
7.525 0.000 0.000
0.000 7.525 0.000
0.000 0.000 3.480
Hf Sb Pt
4 2 4
direct
0.164 0.336 0.000
0.336 0.836 0.000
0.664 0.164 0.000
0.836 0.664 0.000
0.000 0.000 0.500
0.500 0.500 0.500
0.130 0.630 0.500
0.370 0.130 0.500
0.630 0.870 0.500
0.870 0.370 0.500

Record 15
Hf8Sb2Pt | Alexandria via LeMat-Bulk | PBE | relaxed; energy relative to the elements, uncorrected = -26.1 kJ per mole of atoms; symmetry = C2/m
1.0
9.232 -2.383 0.000
9.232 2.383 0.000
-1.712 0.000 5.534
Hf Sb Pt
8 2 1
direct
0.025 0.025 0.268
0.232 0.232 0.841
0.350 0.350 0.451
0.413 0.413 0.001
0.587 0.587 0.999
0.650 0.650 0.549
0.768 0.768 0.159
0.975 0.975 0.732
0.181 0.181 0.274
0.819 0.819 0.726
0.500 0.500 0.500

Record 16
HfSb2TePt | Alexandria via LeMat-Bulk | PBE | relaxed; excess energy over the best structure of this formula in the dataset = 0 meV/atom; energy relative to the elements, uncorrected = 50.6 kJ per mole of atoms; symmetry = P4/mmm
1.0
5.162 0.000 0.000
0.000 5.162 0.000
0.000 0.000 5.315
Hf Sb Te Pt
1 2 1 1
direct
0.000 0.000 0.000
0.000 0.500 0.500
0.500 0.000 0.500
0.500 0.500 0.000
0.500 0.500 0.500

Record 17
HfSb2TePt | Alexandria via LeMat-Bulk | PBE | relaxed; excess energy over the best structure of this formula in the dataset = 179 meV/atom; energy relative to the elements, uncorrected = 67.9 kJ per mole of atoms; symmetry = P4/mmm
1.0
5.453 0.000 0.000
0.000 5.453 0.000
0.000 0.000 5.345
Hf Sb Te Pt
1 2 1 1
direct
0.000 0.000 0.000
0.000 0.500 0.000
0.500 0.000 0.000
0.000 0.000 0.500
0.500 0.500 0.500

Record 18
HfTiSbPt2 | Alexandria via LeMat-Bulk | PBE | relaxed; energy relative to the elements, uncorrected = 60.5 kJ per mole of atoms; symmetry = P4/mmm
1.0
4.887 0.000 0.000
0.000 4.887 0.000
0.000 0.000 5.341
Hf Ti Sb Pt
1 1 1 2
direct
0.000 0.000 0.000
0.500 0.500 0.500
0.000 0.000 0.500
0.000 0.500 0.000
0.500 0.000 0.000

Record 19
HfZrSbPt2 | Alexandria via LeMat-Bulk | PBE | relaxed; energy relative to the elements, uncorrected = 34.2 kJ per mole of atoms; symmetry = P4/mmm
1.0
4.882 0.000 0.000
0.000 4.882 0.000
0.000 0.000 5.295
Hf Zr Sb Pt
1 1 1 2
direct
0.000 0.000 0.000
0.500 0.500 0.500
0.000 0.000 0.500
0.000 0.500 0.000
0.500 0.000 0.000

Record 20
Hf2Sc2Pt3 | Alexandria via LeMat-Bulk | PBE | relaxed; formation energy = -0.95 eV/atom; symmetry = C2/m
1.0
8.482 0.000 0.000
0.000 4.422 0.000
-2.865 0.000 7.434
Hf Sc Pt
4 4 6
direct
0.134 0.000 0.356
0.366 0.500 0.644
0.634 0.500 0.356
0.866 0.000 0.644
0.123 0.500 0.891
0.377 0.000 0.109
0.623 0.000 0.891
0.877 0.500 0.109
0.000 0.500 0.500
0.218 0.000 0.736
0.282 0.500 0.264
0.500 0.000 0.500
0.718 0.500 0.736
0.782 0.000 0.264

The following electronic total energy values (in eV per atom) correspond, in order, to the records above: -8.450, -6.352, -5.844, -8.141, -6.166, -7.953, -5.119, -8.608, -7.308, -7.335, -7.895, -4.916, -6.474, -8.089, -8.808, -4.952, -4.772, -6.183, -6.587, -8.196.